Entry 1:
Below is ThO2 at its PBEsol-relaxed geometry, with properties calculated at the meta-GGA SCAN level.

Lattice parameters (Å, degrees): 3.932 3.932 3.932 60.00 60.00 60.00
Fractional positions:
1 Th 0.000 0.000 0.000
2 O 0.250 0.250 0.250
3 O 0.750 0.750 0.750

For the formation energy (no corrections), the calculation gives -403.1 kJ per mole of atoms.

---

Entry 2:
Below is TiH2Ir2 at its PBEsol-relaxed geometry, with properties calculated at the meta-GGA SCAN level.

Lattice parameters (Å, degrees): 4.432 4.432 4.432 127.26 127.26 77.82
Fractional positions:
1 Ti 0.000 0.000 0.000
2 H 0.299 0.299 0.000
3 H 0.701 0.701 0.000
4 Ir 0.250 0.750 0.500
5 Ir 0.750 0.250 0.500

The uncorrected energy is -166.5 eV per cell.